## A
Entry from the Alexandria database: an optimized crystal structure of CaSb2O2 (PBE-GGA).

a b c (Å): 6.613 6.613 4.392
angles (deg): 90.00 90.00 90.00
Atoms (fractional coordinates):
1 Ca 0.000 0.000 0.000
2 Ca 0.500 0.500 0.000
3 Sb 0.163 0.337 0.500
4 Sb 0.337 0.837 0.500
5 Sb 0.663 0.163 0.500
6 Sb 0.837 0.663 0.500
7 O 0.196 0.304 0.000
8 O 0.304 0.804 0.000
9 O 0.696 0.196 0.000
10 O 0.804 0.696 0.000

Summary:
The value obtained for the total moment is 0.00 μB per cell.

## B
Entry from the Alexandria database: an optimized crystal structure of CaSb2O2 (PBE-GGA).

a b c (Å): 7.059 7.059 7.059
angles (deg): 147.81 147.81 46.17
Atoms (fractional coordinates):
1 Ca 0.000 0.000 0.000
2 Sb 0.250 0.750 0.500
3 Sb 0.750 0.250 0.500
4 O 0.398 0.398 0.000
5 O 0.602 0.602 0.000

Summary:
The value obtained for the total moment is 0.00 μB per cell.

It turns out A is the most stable, with the second structure 80.7 kJ/mol of atoms higher.

## A
Entry from the Alexandria database: an optimized crystal structure of CaSb2O6 (PBE-GGA).

a b c (Å): 5.316 5.316 5.107
angles (deg): 90.00 90.00 120.00
Atoms (fractional coordinates):
1 Ca 0.000 0.000 0.000
2 Sb 0.333 0.667 0.500
3 Sb 0.667 0.333 0.500
4 O 0.000 0.368 0.717
5 O 0.000 0.632 0.283
6 O 0.368 0.000 0.717
7 O 0.368 0.368 0.283
8 O 0.632 0.000 0.283
9 O 0.632 0.632 0.717

Summary:
The value obtained for the total moment is 0.00 μB per cell.

## B
Entry from the Alexandria database: an optimized crystal structure of CaSb2O6 (PBE-GGA).

a b c (Å): 7.768 5.560 5.431
angles (deg): 90.00 90.00 90.00
Atoms (fractional coordinates):
1 Ca 0.000 0.190 0.000
2 Ca 0.500 0.810 0.500
3 Sb 0.250 0.258 0.487
4 Sb 0.250 0.742 0.987
5 Sb 0.750 0.258 0.487
6 Sb 0.750 0.742 0.987
7 O 0.000 0.270 0.583
8 O 0.000 0.774 0.900
9 O 0.200 0.448 0.182
10 O 0.207 0.961 0.278
11 O 0.293 0.039 0.778
12 O 0.300 0.552 0.682
13 O 0.500 0.226 0.400
14 O 0.500 0.730 0.083
15 O 0.700 0.552 0.682
16 O 0.707 0.039 0.778
17 O 0.793 0.961 0.278
18 O 0.800 0.448 0.182

Summary:
The value obtained for the total moment is 0.00 μB per cell.

It turns out A is the most stable, with the second structure 17.1 kJ/mol of atoms higher.

## A
Entry from the Alexandria database: an optimized crystal structure of Ca2SbO2 (PBE-GGA).

a b c (Å): 6.092 6.092 6.092
angles (deg): 135.14 135.14 65.31
Atoms (fractional coordinates):
1 Ca 0.250 0.750 0.500
2 Ca 0.750 0.250 0.500
3 Sb 0.000 0.000 0.000
4 O 0.226 0.226 0.000
5 O 0.774 0.774 0.000

Summary:
The value obtained for the total moment is 0.00 μB per cell.

## B
Entry from the Alexandria database: an optimized crystal structure of Ca2SbO2 (PBE-GGA).

a b c (Å): 7.173 7.173 3.366
angles (deg): 90.00 90.00 90.00
Atoms (fractional coordinates):
1 Ca 0.164 0.336 0.000
2 Ca 0.336 0.836 0.000
3 Ca 0.664 0.164 0.000
4 Ca 0.836 0.664 0.000
5 Sb 0.000 0.000 0.500
6 Sb 0.500 0.500 0.500
7 O 0.161 0.661 0.500
8 O 0.339 0.161 0.500
9 O 0.661 0.839 0.500
10 O 0.839 0.339 0.500

Summary:
The value obtained for the total moment is 0.00 μB per cell.

It turns out A is the most stable, with the second structure 39.0 kJ/mol of atoms higher.

## A
Entry from the Alexandria database: an optimized crystal structure of Ca3SbO (PBE-GGA).

a b c (Å): 8.291 8.291 7.934
angles (deg): 97.50 97.50 30.29
Atoms (fractional coordinates):
1 Ca 0.050 0.050 0.339
2 Ca 0.139 0.139 0.936
3 Ca 0.329 0.329 0.380
4 Ca 0.671 0.671 0.620
5 Ca 0.861 0.861 0.064
6 Ca 0.950 0.950 0.661
7 Sb 0.317 0.317 0.774
8 Sb 0.683 0.683 0.226
9 O 0.089 0.089 0.639
10 O 0.911 0.911 0.361

Summary:
The value obtained for the total moment is 0.79 μB per cell.

## B
Entry from the Alexandria database: an optimized crystal structure of Ca3SbO (PBE-GGA).

a b c (Å): 4.821 4.821 4.821
angles (deg): 90.00 90.00 90.00
Atoms (fractional coordinates):
1 Ca 0.000 0.000 0.500
2 Ca 0.000 0.500 0.000
3 Ca 0.500 0.000 0.000
4 Sb 0.500 0.500 0.500
5 O 0.000 0.000 0.000

Summary:
The value obtained for the total moment is 0.00 μB per cell.

It turns out B is the most stable, with the second structure 11.9 kJ/mol of atoms higher.

## A
Entry from the Alexandria database: an optimized crystal structure of CaSb2O5 (PBE-GGA).

a b c (Å): 5.974 5.974 13.284
angles (deg): 90.00 90.00 140.72
Atoms (fractional coordinates):
1 Ca 0.088 0.912 0.750
2 Ca 0.912 0.088 0.250
3 Sb 0.210 0.790 0.107
4 Sb 0.210 0.790 0.393
5 Sb 0.790 0.210 0.607
6 Sb 0.790 0.210 0.893
7 O 0.047 0.953 0.132
8 O 0.047 0.953 0.368
9 O 0.236 0.764 0.589
10 O 0.236 0.764 0.911
11 O 0.291 0.709 0.250
12 O 0.709 0.291 0.750
13 O 0.764 0.236 0.089
14 O 0.764 0.236 0.411
15 O 0.953 0.047 0.632
16 O 0.953 0.047 0.868

Summary:
The value obtained for the total moment is 0.00 μB per cell.

## B
Entry from the Alexandria database: an optimized crystal structure of CaSb2O5 (PBE-GGA).

a b c (Å): 3.854 13.735 5.184
angles (deg): 90.00 90.00 90.00
Atoms (fractional coordinates):
1 Ca 0.250 0.250 0.092
2 Ca 0.750 0.750 0.908
3 Sb 0.250 0.613 0.429
4 Sb 0.250 0.887 0.429
5 Sb 0.750 0.113 0.571
6 Sb 0.750 0.387 0.571
7 O 0.250 0.089 0.450
8 O 0.250 0.411 0.450
9 O 0.250 0.649 0.073
10 O 0.250 0.750 0.588
11 O 0.250 0.851 0.073
12 O 0.750 0.149 0.927
13 O 0.750 0.250 0.412
14 O 0.750 0.351 0.927
15 O 0.750 0.589 0.550
16 O 0.750 0.911 0.550

Summary:
The value obtained for the total moment is 0.00 μB per cell.

It turns out B is the most stable, with the second structure 3.4 kJ/mol of atoms higher.

## A
Entry from the Alexandria database: an optimized crystal structure of Ca7Sb3O2 (PBE-GGA).

a b c (Å): 13.716 13.716 13.716
angles (deg): 160.17 160.17 28.19
Atoms (fractional coordinates):
1 Ca 0.000 0.000 0.000
2 Ca 0.095 0.595 0.500
3 Ca 0.201 0.201 0.000
4 Ca 0.405 0.905 0.500
5 Ca 0.595 0.095 0.500
6 Ca 0.799 0.799 0.000
7 Ca 0.905 0.405 0.500
8 Sb 0.321 0.321 0.000
9 Sb 0.500 0.500 0.000
10 Sb 0.679 0.679 0.000
11 O 0.089 0.089 0.000
12 O 0.911 0.911 0.000

Summary:
The value obtained for the total moment is 0.00 μB per cell.

## B
Entry from the Alexandria database: an optimized crystal structure of Ca7Sb3O2 (PBE-GGA).

a b c (Å): 13.398 13.398 4.639
angles (deg): 90.00 90.00 159.35
Atoms (fractional coordinates):
1 Ca 0.000 0.000 0.000
2 Ca 0.097 0.903 0.500
3 Ca 0.200 0.800 0.000
4 Ca 0.405 0.595 0.000
5 Ca 0.595 0.405 0.000
6 Ca 0.800 0.200 0.000
7 Ca 0.903 0.097 0.500
8 Sb 0.317 0.683 0.500
9 Sb 0.500 0.500 0.500
10 Sb 0.683 0.317 0.500
11 O 0.090 0.910 0.000
12 O 0.910 0.090 0.000

Summary:
The value obtained for the total moment is 0.00 μB per cell.

It turns out A is the most stable, with the second structure 5.7 kJ/mol of atoms higher.

## A
Entry from the Alexandria database: an optimized crystal structure of Ca2TaSbO6 (PBE-GGA).

a b c (Å): 5.710 8.036 5.938
angles (deg): 90.00 90.75 90.00
Atoms (fractional coordinates):
1 Ca 0.006 0.250 0.442
2 Ca 0.490 0.250 0.947
3 Ca 0.510 0.750 0.053
4 Ca 0.994 0.750 0.558
5 Ta 0.500 0.000 0.500
6 Ta 0.500 0.500 0.500
7 Sb 0.000 0.000 0.000
8 Sb 0.000 0.500 0.000
9 O 0.129 0.750 0.937
10 O 0.210 0.057 0.667
11 O 0.210 0.443 0.667
12 O 0.336 0.057 0.212
13 O 0.336 0.443 0.212
14 O 0.399 0.750 0.458
15 O 0.601 0.250 0.542
16 O 0.664 0.557 0.788
17 O 0.664 0.943 0.788
18 O 0.790 0.557 0.333
19 O 0.790 0.943 0.333
20 O 0.871 0.250 0.063

Summary:
The value obtained for the total moment is 0.00 μB per cell.

## B
Entry from the Alexandria database: an optimized crystal structure of Ca2TaSbO6 (PBE-GGA).

a b c (Å): 5.696 5.696 5.026
angles (deg): 90.00 90.00 90.00
Atoms (fractional coordinates):
1 Ca 0.000 0.500 0.000
2 Ca 0.500 0.000 0.000
3 Ta 0.000 0.000 0.630
4 Sb 0.500 0.500 0.598
5 O 0.000 0.000 0.262
6 O 0.232 0.232 0.755
7 O 0.232 0.768 0.755
8 O 0.500 0.500 0.202
9 O 0.768 0.232 0.755
10 O 0.768 0.768 0.755

Summary:
The value obtained for the total moment is 0.00 μB per cell.

It turns out A is the most stable, with the second structure 8.2 kJ/mol of atoms higher.

## A
Entry from the Alexandria database: an optimized crystal structure of CaSbTe2O (PBE-GGA).

a b c (Å): 4.997 4.997 4.776
angles (deg): 90.00 90.00 90.00
Atoms (fractional coordinates):
1 Ca 0.000 0.000 0.000
2 Sb 0.500 0.500 0.000
3 Te 0.000 0.500 0.500
4 Te 0.500 0.000 0.500
5 O 0.500 0.500 0.500

Summary:
The value obtained for the total moment is 0.00 μB per cell.

## B
Entry from the Alexandria database: an optimized crystal structure of CaSbTe2O (PBE-GGA).

a b c (Å): 5.677 5.677 5.873
angles (deg): 90.00 90.00 90.00
Atoms (fractional coordinates):
1 Ca 0.000 0.000 0.000
2 Sb 0.000 0.000 0.500
3 Te 0.000 0.500 0.000
4 Te 0.500 0.000 0.000
5 O 0.500 0.500 0.500

Summary:
The value obtained for the total moment is 0.00 μB per cell.

It turns out A is the most stable, with the second structure 134.0 kJ/mol of atoms higher.

## A
Entry from the Alexandria database: an optimized crystal structure of CaScO (PBE-GGA).

a b c (Å): 3.336 3.336 5.713
angles (deg): 90.00 90.00 120.00
Atoms (fractional coordinates):
1 Ca 0.000 0.000 0.000
2 Sc 0.333 0.667 0.475
3 O 0.667 0.333 0.261

Summary:
The value obtained for the total moment is 1.07 μB per cell.

## B
Entry from the Alexandria database: an optimized crystal structure of CaScO (PBE-GGA).

a b c (Å): 4.134 4.134 8.377
angles (deg): 90.00 90.00 90.00
Atoms (fractional coordinates):
1 Ca 0.250 0.250 0.150
2 Ca 0.750 0.750 0.850
3 Sc 0.250 0.750 0.500
4 Sc 0.750 0.250 0.500
5 O 0.250 0.250 0.431
6 O 0.750 0.750 0.569

Summary:
The value obtained for the total moment is 0.00 μB per cell.

It turns out B is the most stable, with the second structure 6.2 kJ/mol of atoms higher.

## A
Entry from the Alexandria database: an optimized crystal structure of Ca2SeO5 (PBE-GGA).

a b c (Å): 5.386 5.386 5.386
angles (deg): 116.71 116.71 95.80
Atoms (fractional coordinates):
1 Ca 0.000 0.500 0.500
2 Ca 0.500 0.000 0.500
3 Se 0.233 0.233 0.000
4 O 0.396 0.396 0.437
5 O 0.396 0.959 0.000
6 O 0.465 0.465 0.000
7 O 0.959 0.396 0.000
8 O 0.959 0.959 0.563

Summary:
The value obtained for the total moment is 0.00 μB per cell.

## B
Entry from the Alexandria database: an optimized crystal structure of Ca2SeO5 (PBE-GGA).

a b c (Å): 5.987 5.987 10.231
angles (deg): 90.00 90.00 140.63
Atoms (fractional coordinates):
1 Ca 0.144 0.856 0.577
2 Ca 0.144 0.856 0.923
3 Ca 0.856 0.144 0.077
4 Ca 0.856 0.144 0.423
5 Se 0.162 0.838 0.250
6 Se 0.838 0.162 0.750
7 O 0.053 0.947 0.127
8 O 0.053 0.947 0.373
9 O 0.275 0.725 0.120
10 O 0.275 0.725 0.380
11 O 0.300 0.700 0.750
12 O 0.700 0.300 0.250
13 O 0.725 0.275 0.620
14 O 0.725 0.275 0.880
15 O 0.947 0.053 0.627
16 O 0.947 0.053 0.873

Summary:
The value obtained for the total moment is 0.00 μB per cell.

It turns out A is the most stable, with the second structure 2.4 kJ/mol of atoms higher.